Compound: Ac4TeAuSe2
Source: the Alexandria database
Functional: PBE
Structure: optimized geometry

Computed properties:
The calculation puts the formation energy (no corrections) at -1.481 eV/atom.

CIF file:
```
data_Ac4TeAuSe2
_chemical_formula_sum 'Ac4 Te1 Au1 Se2'
_symmetry_space_group_name_H-M 'P 1 2/m 1'
_symmetry_Int_Tables_number 10
_cell_length_a 7.983
_cell_length_b 4.470
_cell_length_c 8.043
_cell_angle_alpha 90.00
_cell_angle_beta 108.68
_cell_angle_gamma 90.00
loop_
_symmetry_equiv_pos_as_xyz
'x,y,z'
'-x,-y,-z'
'-x,y,-z'
'x,-y,z'
loop_
_atom_site_label
_atom_site_type_symbol
_atom_site_fract_x
_atom_site_fract_y
_atom_site_fract_z
_atom_site_occupancy
Ac1 Ac 0.236 0.000 0.239 1
Ac2 Ac 0.252 0.500 0.762 1
Te1 Te 0.500 0.500 0.500 1
Au1 Au 0.500 0.000 0.000 1
Se1 Se 0.000 0.000 0.500 1
Se2 Se 0.000 0.500 0.000 1
```

***

Compound: Pm5Pr2Cu4
Source: the Alexandria database
Functional: PBE
Structure: optimized geometry

Computed properties:
The value obtained for the formation enthalpy at 0 K is 70.7 kJ/mol of formula units.

CIF file:
```
data_Pm5Pr2Cu4
_chemical_formula_sum 'Pm10 Pr4 Cu8'
_symmetry_space_group_name_H-M 'C 1 2/m 1'
_symmetry_Int_Tables_number 12
_cell_length_a 23.319
_cell_length_b 3.793
_cell_length_c 7.083
_cell_angle_alpha 90.00
_cell_angle_beta 100.91
_cell_angle_gamma 90.00
loop_
_symmetry_equiv_pos_as_xyz
'x,y,z'
'-x,-y,-z'
'-x,y,-z'
'x,-y,z'
'x+1/2,y+1/2,z'
'-x+1/2,-y+1/2,-z'
'-x+1/2,y+1/2,-z'
'x+1/2,-y+1/2,z'
loop_
_atom_site_label
_atom_site_type_symbol
_atom_site_fract_x
_atom_site_fract_y
_atom_site_fract_z
_atom_site_occupancy
Pm1 Pm 0.000 0.000 0.000 1
Pm2 Pm 0.173 0.500 0.099 1
Pm3 Pm 0.206 0.500 0.619 1
Pr1 Pr 0.067 0.500 0.666 1
Cu1 Cu 0.063 0.500 0.267 1
Cu2 Cu 0.129 0.000 0.372 1
```

***

Compound: Be5CuTc
Source: the Alexandria database
Functional: PBE
Structure: optimized geometry

Computed properties:
The value obtained for the formation enthalpy at 0 K is -119.3 kJ/mol of formula units.

CIF file:
```
data_Be5CuTc
_chemical_formula_sum 'Be20 Cu4 Tc4'
_symmetry_space_group_name_H-M 'P n m a'
_symmetry_Int_Tables_number 62
_cell_length_a 6.895
_cell_length_b 4.210
_cell_length_c 8.811
_cell_angle_alpha 90.00
_cell_angle_beta 90.00
_cell_angle_gamma 90.00
loop_
_symmetry_equiv_pos_as_xyz
'x,y,z'
'-x,-y,-z'
'-x+1/2,-y,z+1/2'
'x+1/2,y,-z+1/2'
'x+1/2,-y+1/2,-z+1/2'
'-x+1/2,y+1/2,z+1/2'
'-x,y+1/2,-z'
'x,-y+1/2,z'
loop_
_atom_site_label
_atom_site_type_symbol
_atom_site_fract_x
_atom_site_fract_y
_atom_site_fract_z
_atom_site_occupancy
Be1 Be 0.052 0.250 0.096 1
Be2 Be 0.061 0.507 0.313 1
Be3 Be 0.092 0.750 0.521 1
Be4 Be 0.196 0.750 0.745 1
Cu1 Cu 0.143 0.250 0.862 1
Tc1 Tc 0.249 0.750 0.066 1
```

***

Compound: AgH3Pd
Source: the Alexandria database
Functional: PBE
Structure: optimized geometry

Computed properties:
The calculation puts the excess energy over the best structure of this formula in the dataset at 0.0236 eV per atom.

CIF file:
```
data_AgH3Pd
_chemical_formula_sum 'Ag1 H3 Pd1'
_symmetry_space_group_name_H-M 'P m -3 m'
_symmetry_Int_Tables_number 221
_symmetry_space_group_name_Hall '-P 4 2 3'
_cell_length_a 3.560
_cell_length_b 3.560
_cell_length_c 3.560
_cell_angle_alpha 90.00
_cell_angle_beta 90.00
_cell_angle_gamma 90.00
loop_
_atom_site_label
_atom_site_type_symbol
_atom_site_fract_x
_atom_site_fract_y
_atom_site_fract_z
_atom_site_occupancy
Ag1 Ag 0.000 0.000 0.000 1
H1 H 0.000 0.500 0.500 1
Pd1 Pd 0.500 0.500 0.500 1
```

***

no.,size of the total moment (μB/cell)
1,0.0
2,0.0
3,0.0
4,0.0